A geometry-optimized CaBe3Ge structure, computed with PBE-GGA.

Output
**Relative energy among the computed polymorphs**: 1.425 eV/atom
**Total magnetic moment**: 0.000 μB per cell
**E_form**: 997.0 kJ/mol of formula units
**DOS(E_F)**: 4.827 states/eV per cell

POSCAR file:
```
CaBe3Ge
1.0
4.996 0.000 0.000
0.000 4.996 0.000
0.000 0.000 4.996
Ca Be Ge
1 3 1
direct
0.000 0.000 0.000 Ca
0.000 0.000 0.500 Be
0.000 0.500 0.000 Be
0.500 0.000 0.000 Be
0.500 0.500 0.500 Ge
```


A geometry-optimized CaBe3Ge structure, computed with PBE-GGA.

Output
**Relative energy among the computed polymorphs**: 0.000 eV/atom
**Total magnetic moment**: 0.000 μB per cell
**E_form**: 309.6 kJ/mol of formula units
**DOS(E_F)**: 4.013 states/eV per cell

POSCAR file:
```
CaBe3Ge
1.0
4.403 0.000 0.000
0.000 4.403 0.000
0.000 0.000 4.403
Ca Be Ge
1 3 1
direct
0.000 0.000 0.000 Ca
0.000 0.500 0.500 Be
0.500 0.000 0.500 Be
0.500 0.500 0.000 Be
0.500 0.500 0.500 Ge
```


A geometry-optimized Ca2BeGe2 structure, computed with PBE-GGA.

Output
**Relative energy among the computed polymorphs**: 0.409 eV/atom
**Total magnetic moment**: 0.000 μB per cell
**E_form**: 62.6 kJ/mol of formula units
**DOS(E_F)**: 6.199 states/eV per cell

POSCAR file:
```
Ca2BeGe2
1.0
8.091 0.000 0.000
0.000 8.091 0.000
0.000 0.000 3.880
Ca Be Ge
4 2 4
direct
0.187 0.313 0.000 Ca
0.313 0.813 0.000 Ca
0.687 0.187 0.000 Ca
0.813 0.687 0.000 Ca
0.000 0.000 0.000 Be
0.500 0.500 0.000 Be
0.108 0.608 0.500 Ge
0.392 0.108 0.500 Ge
0.608 0.892 0.500 Ge
0.892 0.392 0.500 Ge
```


A geometry-optimized Ca3Be2Ge4 structure, computed with PBE-GGA.

Output
**Relative energy among the computed polymorphs**: 0.000 eV/atom
**Total magnetic moment**: 0.000 μB per cell
**E_form**: -410.5 kJ/mol of formula units
**DOS(E_F)**: 2.812 states/eV per cell

POSCAR file:
```
Ca3Be2Ge4
1.0
5.600 -2.015 0.000
5.600 2.015 0.000
-0.914 0.000 8.148
Ca Be Ge
3 2 4
direct
0.000 0.000 0.000 Ca
0.340 0.340 0.336 Ca
0.660 0.660 0.664 Ca
0.389 0.389 0.714 Be
0.611 0.611 0.286 Be
0.063 0.063 0.380 Ge
0.287 0.287 0.931 Ge
0.713 0.713 0.069 Ge
0.937 0.937 0.620 Ge
```


A geometry-optimized Ca2Be3Ge3 structure, computed with PBE-GGA.

Output
**Total magnetic moment**: 0.000 μB per cell
**E_form**: 640.8 kJ/mol of formula units
**DOS(E_F)**: 4.312 states/eV per cell

POSCAR file:
```
Ca2Be3Ge3
1.0
2.909 0.000 0.000
0.000 2.909 0.000
0.000 0.000 20.149
Ca Be Ge
2 3 3
direct
0.000 0.000 0.249 Ca
0.000 0.000 0.751 Ca
0.000 0.000 0.110 Be
0.000 0.000 0.500 Be
0.000 0.000 0.890 Be
0.000 0.000 0.000 Ge
0.000 0.000 0.391 Ge
0.000 0.000 0.609 Ge
```


A geometry-optimized Ca2BeGe2 structure, computed with PBE-GGA.

Output
**Relative energy among the computed polymorphs**: 0.387 eV/atom
**Total magnetic moment**: 0.000 μB per cell
**E_form**: 52.2 kJ/mol of formula units
**DOS(E_F)**: 4.850 states/eV per cell

POSCAR file:
```
Ca2BeGe2
1.0
-1.870 1.870 8.684
1.870 -1.870 8.684
1.870 1.870 -8.684
Ca Be Ge
2 1 2
direct
0.102 0.102 0.000 Ca
0.898 0.898 0.000 Ca
0.500 0.500 0.000 Be
0.250 0.750 0.500 Ge
0.750 0.250 0.500 Ge
```